# CuHgPd4

A relaxed structure of CuHgPd4 (PBE, the Alexandria database).

Output
Energy relative to the lowest polymorph listed for this composition (eV/atom): 0.000
Total moment (μB per formula unit): 0.00

```
data_CuHgPd4
_chemical_formula_sum 'Cu2 Hg2 Pd8'
_symmetry_space_group_name_H-M 'C 1 2/m 1'
_symmetry_Int_Tables_number 12
_symmetry_space_group_name_Hall '-C 2y'
_cell_length_a 4.885
_cell_length_b 8.470
_cell_length_c 4.856
_cell_angle_alpha 90.00
_cell_angle_beta 108.93
_cell_angle_gamma 90.00
loop_
_atom_site_label
_atom_site_type_symbol
_atom_site_fract_x
_atom_site_fract_y
_atom_site_fract_z
Cu1 Cu 0.000 0.000 0.000
Hg1 Hg 0.000 0.500 0.500
Pd1 Pd 0.000 0.164 0.500
Pd2 Pd 0.000 0.330 0.000
```